1.
Below is SrYTe2 after structural relaxation, with properties calculated at the GGA-PBEsol level.

Results
Energy above the lowest structure with this stoichiometry (meV/atom): 51

CIF file:
```
data_SrYTe2
_chemical_formula_sum 'Sr1 Y1 Te2'
_cell_length_a 4.461
_cell_length_b 4.461
_cell_length_c 6.290
_cell_angle_alpha 90.00
_cell_angle_beta 90.00
_cell_angle_gamma 90.00
_space_group_name_H-M_alt 'P 4/m m m'
_space_group_IT_number 123
_space_group_name_Hall '-P 4 2'
loop_
_atom_site_label
_atom_site_fract_x
_atom_site_fract_y
_atom_site_fract_z
Sr1 0.000 0.000 0.000
Y1 0.500 0.500 0.500
Te1 0.000 0.000 0.500
Te2 0.500 0.500 0.000
```


2.
Below is SrSiPt2 after structural relaxation, with properties calculated at the GGA-PBEsol level.

Results
Calculated total energy (eV/atom): -6.200

CIF file:
```
data_SrSiPt2
_chemical_formula_sum 'Sr3 Si3 Pt6'
_cell_length_a 4.1960
_cell_length_b 4.1960
_cell_length_c 16.3844
_cell_angle_alpha 90.00
_cell_angle_beta 90.00
_cell_angle_gamma 120.00
_space_group_name_H-M_alt 'R -3 m'
_space_group_IT_number 166
_space_group_name_Hall '-R 3 2"'
loop_
_atom_site_label
_atom_site_fract_x
_atom_site_fract_y
_atom_site_fract_z
Sr1 0.0000 0.0000 0.0000
Si1 0.0000 0.0000 0.5000
Pt1 0.0000 0.0000 0.2016
```


3.
Below is Cd3Au after structural relaxation, with properties calculated at the GGA-PBEsol level.

Results
Formation energy from the elements (eV/atom): -0.132

CIF file:
```
data_Cd3Au
_chemical_formula_sum 'Cd12 Au4'
_cell_length_a 7.945
_cell_length_b 8.512
_cell_length_c 4.861
_cell_angle_alpha 90.00
_cell_angle_beta 90.00
_cell_angle_gamma 90.00
_space_group_name_H-M_alt 'P n m a'
_space_group_IT_number 62
_space_group_name_Hall '-P 2ac 2n'
loop_
_atom_site_label
_atom_site_fract_x
_atom_site_fract_y
_atom_site_fract_z
Cd1 0.011 0.250 0.056
Cd2 0.171 0.073 0.541
Au1 0.149 0.750 0.449
```


4.
Below is Sr2AsW after structural relaxation, with properties calculated at the GGA-PBEsol level.

Results
Formation energy from the elements (eV/atom): 0.264

CIF file:
```
data_Sr2AsW
_chemical_formula_sum 'Sr4 As2 W2'
_cell_length_a 11.615
_cell_length_b 3.493
_cell_length_c 5.498
_cell_angle_alpha 90.00
_cell_angle_beta 111.29
_cell_angle_gamma 90.00
_space_group_name_H-M_alt 'C 1 m 1'
_space_group_IT_number 8
_space_group_name_Hall 'C -2y'
loop_
_atom_site_label
_atom_site_fract_x
_atom_site_fract_y
_atom_site_fract_z
Sr1 0.000 0.000 0.000
Sr2 0.189 0.000 0.646
As1 0.250 0.500 0.179
W1 0.400 0.000 0.408
```


5.
Below is PHI3 after structural relaxation, with properties calculated at the GGA-PBEsol level.

Results
Calculated total energy (eV/atom): -2.301

CIF file:
```
data_PHI3
_chemical_formula_sum 'P1 H1 I3'
_cell_length_a 5.435
_cell_length_b 5.435
_cell_length_c 5.435
_cell_angle_alpha 90.00
_cell_angle_beta 90.00
_cell_angle_gamma 90.00
_space_group_name_H-M_alt 'P m -3 m'
_space_group_IT_number 221
_space_group_name_Hall '-P 4 2 3'
loop_
_atom_site_label
_atom_site_fract_x
_atom_site_fract_y
_atom_site_fract_z
P1 0.000 0.000 0.000
H1 0.500 0.500 0.500
I1 0.000 0.000 0.500
```


6.
Below is TeIrSe after structural relaxation, with properties calculated at the GGA-PBEsol level.

Results
Energy above the lowest structure with this stoichiometry (meV/atom): 0

CIF file:
```
data_TeIrSe
_chemical_formula_sum 'Te1 Ir1 Se1'
_cell_length_a 3.8042
_cell_length_b 3.8042
_cell_length_c 5.1329
_cell_angle_alpha 90.00
_cell_angle_beta 90.00
_cell_angle_gamma 120.00
_space_group_name_H-M_alt 'P 3 m 1'
_space_group_IT_number 156
_space_group_name_Hall 'P 3 -2"'
loop_
_atom_site_label
_atom_site_fract_x
_atom_site_fract_y
_atom_site_fract_z
Te1 0.0000 0.0000 0.0000
Ir1 0.6667 0.3333 0.7221
Se1 0.3333 0.6667 0.4826
```


Magnetization values (in μB/f.u.) by entry order: 0.0, 0.0, 0.0, 0.5, 1.0, 0.0.